Below is an optimized crystal structure of KAcV2O7, with properties calculated at the PBE with a Hubbard U level.

Structure (POSCAR):
```
KAcV2O7
1.0
3.755 0.000 0.000
0.000 3.755 0.000
0.000 0.000 10.877
K Ac V O
1 1 2 7
Direct
0.000 0.000 0.500
0.000 0.000 0.000
0.500 0.500 0.216
0.500 0.500 0.784
0.500 0.500 0.630
0.000 0.500 0.183
0.500 0.000 0.183
0.000 0.500 0.817
0.500 0.000 0.817
0.500 0.500 0.370
0.500 0.500 0.000
```

Calculated values
VASP energy (eV/atom): -7.283
M_tot (Bohr magnetons per cell): 0.0